Ta5NbSb2 | PBE | relaxed

Unit cell a=5.299 b=5.299 c=5.290 alpha=90.00 beta=90.00 gamma=90.00
Positions (direct):
Ta  0.000  0.000  0.000
Ta  0.250  0.500  0.250
Ta  0.500  0.250  0.750
Ta  0.500  0.750  0.750
Ta  0.750  0.500  0.250
Nb  0.000  0.000  0.500
Sb  0.000  0.500  0.750
Sb  0.500  0.000  0.250

Summary:
uncorrected energy = -9.83 eV per atom
symmetry = P-4m2



LiTcAgTe3 | PBE | relaxed

Unit cell a=7.258 b=7.258 c=10.616 alpha=90.00 beta=90.00 gamma=149.42
Positions (direct):
Li  0.225  0.775  0.750
Li  0.775  0.225  0.250
Tc  0.000  0.000  0.000
Tc  0.000  0.000  0.500
Ag  0.443  0.557  0.250
Ag  0.557  0.443  0.750
Te  0.090  0.910  0.250
Te  0.359  0.641  0.023
Te  0.359  0.641  0.477
Te  0.641  0.359  0.523
Te  0.641  0.359  0.977
Te  0.910  0.090  0.750

Summary:
uncorrected energy = -4.18 eV per atom
symmetry = Cmcm



Sc2NbPb | PBE | relaxed

Unit cell a=4.949 b=4.949 c=4.949 alpha=60.00 beta=60.00 gamma=60.00
Positions (direct):
Sc  0.000  0.000  0.000
Sc  0.250  0.250  0.250
Nb  0.750  0.750  0.750
Pb  0.500  0.500  0.500

Summary:
uncorrected energy = -6.52 eV per atom
symmetry = F-43m



ScAgPd2 | PBE | relaxed

Unit cell a=4.572 b=4.572 c=4.572 alpha=60.00 beta=60.00 gamma=60.00
Positions (direct):
Sc  0.000  0.000  0.000
Ag  0.250  0.250  0.250
Pd  0.500  0.500  0.500
Pd  0.750  0.750  0.750

Summary:
symmetry = F-43m
ΔH_f (0 K) = -2.0 eV per formula unit



SrDyTe2AuSe | PBE | relaxed

Unit cell a=7.703 b=7.703 c=10.753 alpha=90.00 beta=90.00 gamma=147.81
Positions (direct):
Sr  0.240  0.760  0.750
Sr  0.760  0.240  0.250
Dy  0.500  0.500  0.000
Dy  0.500  0.500  0.500
Te  0.148  0.852  0.054
Te  0.148  0.852  0.446
Te  0.852  0.148  0.554
Te  0.852  0.148  0.946
Au  0.028  0.972  0.250
Au  0.972  0.028  0.750
Se  0.418  0.582  0.250
Se  0.582  0.418  0.750

Summary:
uncorrected energy = -4.49 eV per atom
symmetry = Cmcm



MgTaRePb | PBE | relaxed

Unit cell a=4.680 b=4.680 c=4.680 alpha=60.00 beta=60.00 gamma=60.00
Positions (direct):
Mg  0.000  0.000  0.000
Ta  0.750  0.750  0.750
Re  0.500  0.500  0.500
Pb  0.250  0.250  0.250

Summary:
uncorrected energy = -6.96 eV per atom
symmetry = F-43m



PmMgO3 | PBE | relaxed

Unit cell a=5.610 b=8.392 c=5.817 alpha=90.00 beta=90.00 gamma=90.00
Positions (direct):
Pm  0.000  0.000  0.000
Pm  0.000  0.500  0.000
Pm  0.500  0.000  0.500
Pm  0.500  0.500  0.500
Mg  0.023  0.250  0.443
Mg  0.477  0.750  0.943
Mg  0.523  0.250  0.057
Mg  0.977  0.750  0.557
O  0.111  0.573  0.377
O  0.111  0.927  0.377
O  0.130  0.750  0.867
O  0.370  0.250  0.367
O  0.389  0.073  0.877
O  0.389  0.427  0.877
O  0.611  0.573  0.123
O  0.611  0.927  0.123
O  0.630  0.750  0.633
O  0.870  0.250  0.133
O  0.889  0.073  0.623
O  0.889  0.427  0.623

Summary:
uncorrected energy = -6.76 eV per atom
symmetry = Pnma



ZnAgW | PBE | relaxed

Unit cell a=4.346 b=4.346 c=4.346 alpha=60.00 beta=60.00 gamma=60.00
Positions (direct):
Zn  0.000  0.000  0.000
Ag  0.500  0.500  0.500
W  0.750  0.750  0.750

Summary:
symmetry = F-43m
ΔH_f (0 K) = 4.0 eV per formula unit



Nd2PuN3 | PBE | relaxed

Unit cell a=3.560 b=3.560 c=8.758 alpha=90.00 beta=90.00 gamma=120.00
Positions (direct):
Nd  0.333  0.667  0.333
Nd  0.667  0.333  0.667
Pu  0.000  0.000  0.000
N  0.000  0.000  0.500
N  0.333  0.667  0.857
N  0.667  0.333  0.143

Summary:
uncorrected energy = -9.48 eV per atom
symmetry = P-3m1



Na2Re2O5 | PBE | relaxed

Unit cell a=3.280 b=3.280 c=10.251 alpha=90.00 beta=90.00 gamma=90.00
Positions (direct):
Na  0.000  0.000  0.234
Na  0.000  0.000  0.766
Re  0.500  0.500  0.000
Re  0.500  0.500  0.500
O  0.000  0.000  0.000
O  0.000  0.500  0.387
O  0.000  0.500  0.613
O  0.500  0.000  0.387
O  0.500  0.000  0.613

Summary:
uncorrected energy = -6.33 eV per atom
symmetry = P4/mmm



So what do the calculations give for magnetization? Going down the list: 0.00; 0.32; 0.29; 0.00; 0.00; 0.00; 0.20; 0.01; 0.74; 0.37 μB per atom.